## BeMo2RhF (PBE+U)

Data for crystalline BeMo2RhF at its relaxed geometry.

```
BeMo2RhF
1.0
-1.040 1.938 4.300
-0.871 -2.895 1.094
4.531 -0.812 1.462
Be Mo Rh F
1 2 1 1
Cartesian
-0.436 -1.448 0.547
2.266 -0.406 0.731
-0.520 0.969 2.150
1.310 -0.884 3.428
0.000 0.000 0.000
```

Values from the calculation:
D(E_F) in states/eV/cell: 2.39
Calculated volume in Å³/cell: 75.0
Final energy in eV/atom: -4.994